VASP calculation (GGA-PBE) on an optimized crystal structure of TaHg2P.

The space group is Cmm2 (No. 35) and the conventional cell measures 3.602, 4.751 and 10.086 Å, with angles of 90.00, 90.00 and 90.00 degrees. Symmetry generates all atoms from Ta at (0.000, 0.000, 0.000), Hg at (0.000, 0.000, 0.531), Hg at (0.000, 0.500, 0.234) and P at (0.000, 0.500, 0.831).

The calculation puts the formation energy at 0.58 eV per formula unit.



VASP calculation (GGA-PBE) on an optimized crystal structure of Zr12CdPb3.

The space group is Pmmm (No. 47) and the conventional cell measures 5.679, 5.681 and 11.359 Å, with angles of 90.00, 90.00 and 90.00 degrees. Symmetry generates all atoms from Zr at (0.000, 0.000, 0.122), Zr at (0.000, 0.000, 0.374), Zr at (0.250, 0.500, 0.500), Zr at (0.253, 0.500, 0.000), Zr at (0.500, 0.248, 0.248), Cd at (0.500, 0.000, 0.000), Pb at (0.000, 0.500, 0.251) and Pb at (0.500, 0.000, 0.500).

The calculation puts the formation energy at -2.38 eV per formula unit.



VASP calculation (GGA-PBE) on an optimized crystal structure of Y3RuAu.

The space group is Pm-3m (No. 221) and the conventional cell measures 5.282, 5.282 and 5.282 Å, with angles of 90.00, 90.00 and 90.00 degrees. Symmetry generates all atoms from Y at (0.000, 0.000, 0.500), Ru at (0.000, 0.000, 0.000) and Au at (0.500, 0.500, 0.500).

The calculation puts the formation energy at -0.72 eV per formula unit.



VASP calculation (GGA-PBE) on an optimized crystal structure of ZnFe2Br.

The space group is Pmmm (No. 47) and the conventional cell measures 3.086, 4.256 and 4.784 Å, with angles of 90.00, 90.00 and 90.00 degrees. Symmetry generates all atoms from Zn at (0.000, 0.000, 0.000), Fe at (0.000, 0.500, 0.500), Fe at (0.500, 0.500, 0.000) and Br at (0.500, 0.000, 0.500).

For the uncorrected formation energy, the calculation gives 0.611 eV per atom.



VASP calculation (GGA-PBE) on an optimized crystal structure of Th3FeSe2.

The space group is C2/m (No. 12) and the conventional cell measures 13.683, 6.007 and 3.953 Å, with angles of 90.00, 106.72 and 90.00 degrees. Symmetry generates all atoms from Th at (0.000, 0.000, 0.000), Th at (0.138, 0.500, 0.639), Fe at (0.000, 0.500, 0.000) and Se at (0.178, 0.000, 0.677).

For the uncorrected formation energy, the calculation gives -1.069 eV per atom.



VASP calculation (GGA-PBE) on an optimized crystal structure of Zr2Sb.

The space group is P4/mmm (No. 123) and the conventional cell measures 4.483, 4.483 and 3.899 Å, with angles of 90.00, 90.00 and 90.00 degrees. Symmetry generates all atoms from Zr at (0.000, 0.500, 0.000) and Sb at (0.000, 0.000, 0.500).

For the uncorrected formation energy, the calculation gives -0.147 eV per atom.



VASP calculation (GGA-PBE) on an optimized crystal structure of AcPrTlBr.

The space group is F-43m (No. 216) and the conventional cell measures 7.995, 7.995 and 7.995 Å, with angles of 90.00, 90.00 and 90.00 degrees. Symmetry generates all atoms from Ac at (0.000, 0.000, 0.000), Pr at (0.000, 0.000, 0.500), Tl at (0.250, 0.250, 0.250) and Br at (0.250, 0.250, 0.750).

For the uncorrected formation energy, the calculation gives -0.661 eV per atom.



VASP calculation (GGA-PBE) on an optimized crystal structure of Tm8Pb2C3.

The space group is C2/m (No. 12) and the conventional cell measures 15.102, 7.154 and 6.291 Å, with angles of 90.00, 106.81 and 90.00 degrees. Symmetry generates all atoms from Tm at (0.088, 0.241, 0.388), Tm at (0.092, 0.000, 0.899), Tm at (0.098, 0.500, 0.932), Pb at (0.245, 0.500, 0.668), C at (0.000, 0.000, 0.500) and C at (0.000, 0.254, 0.000).

The calculation puts the formation energy at -4.07 eV per formula unit.



VASP calculation (GGA-PBE) on an optimized crystal structure of HoTm2S4.

The space group is Imma (No. 74) and the conventional cell measures 7.752, 7.777 and 10.798 Å, with angles of 90.00, 90.00 and 90.00 degrees. Symmetry generates all atoms from Ho at (0.000, 0.000, 0.000), Tm at (0.000, 0.000, 0.500), Tm at (0.250, 0.250, 0.250), S at (0.000, 0.009, 0.251) and S at (0.248, 0.250, 0.502).

For the uncorrected formation energy, the calculation gives -2.069 eV per atom.



VASP calculation (GGA-PBE) on an optimized crystal structure of ErTm2ZrSc4.

The space group is Imma (No. 74) and the conventional cell measures 6.428, 10.946 and 12.386 Å, with angles of 90.00, 90.00 and 90.00 degrees. Symmetry generates all atoms from Er at (0.250, 0.250, 0.250), Tm at (0.000, 0.000, 0.000), Tm at (0.250, 0.250, 0.750), Zr at (0.000, 0.000, 0.500), Sc at (0.000, 0.000, 0.263) and Sc at (0.229, 0.250, 0.501).

The calculation puts the formation energy at 3.61 eV per formula unit.



VASP calculation (GGA-PBE) on an optimized crystal structure of Y2PdAu2.

The space group is I4/mmm (No. 139) and the conventional cell measures 5.546, 5.546 and 8.045 Å, with angles of 90.00, 90.00 and 90.00 degrees. Symmetry generates all atoms from Y at (0.000, 0.500, 0.250), Pd at (0.000, 0.000, 0.000) and Au at (0.000, 0.000, 0.341).

The calculation puts the formation energy at -2.64 eV per formula unit.



VASP calculation (GGA-PBE) on an optimized crystal structure of Tb7PrY2.

The space group is P-1 (No. 2) and the conventional cell measures 6.193, 7.160 and 7.994 Å, with angles of 77.10, 75.04 and 73.29 degrees. Symmetry generates all atoms from Tb at (0.000, 0.000, 0.000), Tb at (0.200, 0.801, 0.600), Tb at (0.400, 0.099, 0.200), Tb at (0.400, 0.600, 0.200), Pr at (0.000, 0.500, 0.000) and Y at (0.202, 0.299, 0.599).

The calculation puts the formation energy at 0.15 eV per formula unit.



VASP calculation (GGA-PBE) on an optimized crystal structure of SmInAgPb.

The space group is Pmmm (No. 47) and the conventional cell measures 4.564, 4.575 and 4.838 Å, with angles of 90.00, 90.00 and 90.00 degrees. Symmetry generates all atoms from Sm at (0.000, 0.000, 0.000), In at (0.500, 0.000, 0.500), Ag at (0.000, 0.500, 0.500) and Pb at (0.500, 0.500, 0.000).

The calculation puts the formation energy at -1.37 eV per formula unit.



VASP calculation (GGA-PBE) on an optimized crystal structure of FeTePd3.

The space group is Pm-3m (No. 221) and the conventional cell measures 4.662, 4.662 and 4.662 Å, with angles of 90.00, 90.00 and 90.00 degrees. Symmetry generates all atoms from Fe at (0.000, 0.000, 0.000), Te at (0.500, 0.500, 0.500) and Pd at (0.000, 0.000, 0.500).

For the uncorrected formation energy, the calculation gives 0.536 eV per atom.



VASP calculation (GGA-PBE) on an optimized crystal structure of H2PbBrF.

The space group is P4/mmm (No. 123) and the conventional cell measures 4.579, 4.579 and 4.737 Å, with angles of 90.00, 90.00 and 90.00 degrees. Symmetry generates all atoms from H at (0.000, 0.500, 0.000), Pb at (0.000, 0.000, 0.500), Br at (0.500, 0.500, 0.500) and F at (0.000, 0.000, 0.000).

The raw total energy is -2.7765 eV per atom.



VASP calculation (GGA-PBE) on an optimized crystal structure of Co6Ni8Ir.

The space group is R-3 (No. 148, hexagonal axes) and the conventional cell measures 7.1940, 7.1940 and 12.0502 Å, with angles of 90.00, 90.00 and 120.00 degrees. Symmetry generates all atoms from Co at (0.0243, 0.8204, 0.4067), Ni at (0.0000, 0.0000, 0.2276), Ni at (0.0315, 0.6287, 0.5660) and Ir at (0.0000, 0.0000, 0.0000).

The calculation puts the formation energy at 4.45 eV per formula unit.



VASP calculation (GGA-PBE) on an optimized crystal structure of Tb4Nd3Bi8.

The space group is C2/m (No. 12) and the conventional cell measures 12.805, 12.815 and 9.017 Å, with angles of 90.00, 134.70 and 90.00 degrees. Symmetry generates all atoms from Tb at (0.000, 0.000, 0.000), Tb at (0.000, 0.000, 0.500), Tb at (0.250, 0.250, 0.000), Nd at (0.000, 0.500, 0.500), Nd at (0.250, 0.250, 0.500), Bi at (0.000, 0.248, 0.500), Bi at (0.000, 0.252, 0.000), Bi at (0.249, 0.000, 0.503) and Bi at (0.250, 0.000, 0.994).

The calculation puts the formation energy at -10.58 eV per formula unit.



VASP calculation (GGA-PBE) on an optimized crystal structure of Mg8Ga2Pd.

The space group is C2/m (No. 12) and the conventional cell measures 15.501, 4.652 and 6.754 Å, with angles of 90.00, 114.24 and 90.00 degrees. Symmetry generates all atoms from Mg at (0.021, 0.000, 0.288), Mg at (0.101, 0.500, 0.932), Mg at (0.161, 0.500, 0.427), Mg at (0.186, 0.000, 0.759), Ga at (0.180, 0.000, 0.174) and Pd at (0.000, 0.500, 0.500).

The calculation puts the formation energy at -2.37 eV per formula unit.



VASP calculation (GGA-PBE) on an optimized crystal structure of TbPrDy2Ho6.

The space group is C2/c (No. 15) and the conventional cell measures 9.072, 15.020 and 9.517 Å, with angles of 90.00, 96.94 and 90.00 degrees. Symmetry generates all atoms from Tb at (0.000, 0.091, 0.250), Pr at (0.000, 0.474, 0.750), Dy at (0.250, 0.053, 0.954), Ho at (0.064, 0.313, 0.443), Ho at (0.099, 0.109, 0.618) and Ho at (0.207, 0.273, 0.818).

The calculation puts the formation energy at 1.22 eV per formula unit.



VASP calculation (GGA-PBE) on an optimized crystal structure of Rb3SnH.

The space group is C2/m (No. 12) and the conventional cell measures 14.028, 8.100 and 8.394 Å, with angles of 90.00, 123.92 and 90.00 degrees. Symmetry generates all atoms from Rb at (0.092, 0.000, 0.254), Rb at (0.169, 0.260, 0.747), Sn at (0.067, 0.500, 0.202) and H at (0.164, 0.000, 0.992).

The raw total energy is -2.1094 eV per atom.



no.,DOS(E_F) (states/eV per atom)
1,0.367
2,1.145
3,0.867
4,0.926
5,1.045
6,0.796
7,0.802
8,0.603
9,0.245
10,1.994
11,0.685
12,1.235
13,0.554
14,0.686
15,0.000
16,1.120
17,0.558
18,0.351
19,1.485
20,0.378